# 1
## LiHo2Ni12P3 (PBE-GGA)

Data for a relaxed structure of LiHo2Ni12P3.

Values from the calculation:
The density of states at the Fermi level comes out at 35.633 states/eV/cell. The value obtained for the formation energy is -4.0 eV per formula unit.

Unit cell a=8.3517 b=8.3517 c=11.7310 alpha=90.00 beta=90.00 gamma=120.00
Last column: nearest neighbours and their distance in Å.
Space group R-3m (No. 166, hexagonal axes)
Symmetry-distinct sites (fractional):
Li 0.0000 0.0000 0.0000 x3  6 Ni 2.36
Ho 0.0000 0.0000 0.3493 x6  3 Ni 2.47
Ni 0.0078 0.5039 0.6832 x18  1 P 2.15, 1 Li 2.36, 3 Ni 2.36-2.39
Ni 0.0150 0.5075 0.8847 x18  1 Ni 2.36, 2 P 2.43
P 0.0000 0.5000 0.5000 x9  2 Ni 2.15

=====

# 2
## LiHoNiPd (PBE-GGA)

Data for a relaxed structure of LiHoNiPd.

Values from the calculation:
The density of states at the Fermi level comes out at 7.381 states/eV/cell. The value obtained for the formation energy is -1.6 eV per formula unit.

Unit cell a=6.4957 b=6.4957 c=6.4957 alpha=90.00 beta=90.00 gamma=90.00
Last column: nearest neighbours and their distance in Å.
Space group F-43m (No. 216)
Symmetry-distinct sites (fractional):
Li 0.0000 0.0000 0.0000 x4  4 Ni 2.81, 4 Pd 2.81
Ho 0.0000 0.0000 0.5000 x4  4 Ni 2.81, 4 Pd 2.81
Ni 0.2500 0.2500 0.7500 x4  4 Li 2.81, 4 Ho 2.81
Pd 0.2500 0.2500 0.2500 x4  4 Li 2.81, 4 Ho 2.81

=====

# 3
## LiPmHoNi (PBE-GGA)

Data for a relaxed structure of LiPmHoNi.

Values from the calculation:
The density of states at the Fermi level comes out at 13.690 states/eV/cell. The value obtained for the formation energy is -0.4 eV per formula unit.

Unit cell a=7.0384 b=7.0384 c=7.0384 alpha=90.00 beta=90.00 gamma=90.00
Last column: nearest neighbours and their distance in Å.
Space group F-43m (No. 216)
Symmetry-distinct sites (fractional):
Li 0.0000 0.0000 0.0000 x4  4 Ho 3.05, 4 Pm 3.05
Pm 0.2500 0.2500 0.7500 x4  4 Li 3.05, 4 Ni 3.05
Ho 0.2500 0.2500 0.2500 x4  4 Ni 3.05, 4 Li 3.05
Ni 0.0000 0.0000 0.5000 x4  4 Ho 3.05, 4 Pm 3.05

=====

# 4
## LiPrHoNi (PBE-GGA)

Data for a relaxed structure of LiPrHoNi.

Values from the calculation:
The density of states at the Fermi level comes out at 12.411 states/eV/cell. The value obtained for the formation energy is -0.3 eV per formula unit.

Unit cell a=7.0921 b=7.0921 c=7.0921 alpha=90.00 beta=90.00 gamma=90.00
Last column: nearest neighbours and their distance in Å.
Space group F-43m (No. 216)
Symmetry-distinct sites (fractional):
Li 0.0000 0.0000 0.0000 x4  4 Pr 3.07, 4 Ho 3.07
Pr 0.2500 0.2500 0.7500 x4  4 Ni 3.07, 4 Li 3.07
Ho 0.2500 0.2500 0.2500 x4  4 Li 3.07, 4 Ni 3.07
Ni 0.0000 0.0000 0.5000 x4  4 Ho 3.07, 4 Pr 3.07